Record 1
Computed, not measured: a relaxed structure of Cr2TcSb at the PBE level of DFT.

Cell lengths 3.9716, 3.9716, 3.8856 Å; angles 90.00, 90.00, 90.00 degrees
Positions (direct):
Cr: 0.0000 0.5000 0.0000
Cr: 0.5000 0.0000 0.0000
Tc: 0.0000 0.0000 0.5000
Sb: 0.5000 0.5000 0.5000

Calculated values
**Total magnetization**: 4.1 μB/cell
**SG**: P4/mmm, No. 123
**ΔE_f (raw)**: 33.00 kJ/mol of atoms
**Crystal system**: tetragonal

=====

Record 2
Computed, not measured: a relaxed structure of LiTeOsO6 at the PBE level of DFT.

Cell lengths 5.2772, 5.2772, 9.3027 Å; angles 90.00, 90.00, 120.00 degrees
Positions (direct):
Li: 0.0000 0.0000 0.0000
Li: 0.0000 0.0000 0.5000
Te: 0.3333 0.6667 0.2500
Te: 0.6667 0.3333 0.7500
Os: 0.3333 0.6667 0.7500
Os: 0.6667 0.3333 0.2500
O: 0.0134 0.3662 0.6368
O: 0.0134 0.6472 0.8632
O: 0.3528 0.3662 0.8632
O: 0.3528 0.9866 0.6368
O: 0.3662 0.0134 0.1368
O: 0.3662 0.3528 0.3632
O: 0.6338 0.6472 0.6368
O: 0.6338 0.9866 0.8632
O: 0.6472 0.0134 0.3632
O: 0.6472 0.6338 0.1368
O: 0.9866 0.3528 0.1368
O: 0.9866 0.6338 0.3632

Calculated values
**Total magnetization**: 2.0 μB/cell
**SG**: P-31c, No. 163
**ΔE_f (raw)**: -108.02 kJ/mol of atoms
**Crystal system**: trigonal

=====

Record 3
Computed, not measured: a relaxed structure of Lu2HRu at the PBE level of DFT.

Cell lengths 3.2176, 3.2176, 6.8955 Å; angles 90.00, 90.00, 90.00 degrees
Positions (direct):
Lu: 0.0000 0.0000 0.2422
Lu: 0.0000 0.0000 0.7578
H: 0.5000 0.5000 0.5000
Ru: 0.5000 0.5000 0.0000

Calculated values
**Total magnetization**: 0.0 μB/cell
**SG**: P4/mmm, No. 123
**Relative energy among the computed polymorphs**: 0.25 eV per formula unit
**Crystal system**: tetragonal

=====

Record 4
Computed, not measured: a relaxed structure of ErTmCoRu at the PBE level of DFT.

Cell lengths 3.3402, 3.3402, 6.6123 Å; angles 90.00, 90.00, 90.00 degrees
Positions (direct):
Er: 0.0000 0.0000 0.0000
Tm: 0.0000 0.0000 0.5022
Co: 0.5000 0.5000 0.7501
Ru: 0.5000 0.5000 0.2524

Calculated values
**Total magnetization**: 0.1 μB/cell
**SG**: P4mm, No. 99
**Formation energy**: -318 meV/atom
**Relative energy among the computed polymorphs**: 0.02 eV per formula unit
**Crystal system**: tetragonal